Entry 1:
Material: Li3UPa3Se8
Method: DFT, GGA-PBE
State: relaxed

Values from the calculation:
D(E_F)	1.12	states/eV/atom
E_form (uncorrected)	-1.26	eV/atom
space-group type	R-3m, No. 166

Cell and atoms, written as extended XYZ:
```
15
Lattice="4.0239 2.3232 6.6608 -4.0239 2.3232 6.6608 0.0000 -4.6464 6.6608" Properties=species:S:1:pos:R:3 pbc="T T T"
Li -2.0119 -1.1616 6.6608
Li -2.0119 1.1616 13.3215
Li 0.0000 2.3232 6.6608
U 0.0000 0.0000 9.9911
Pa -4.0239 0.0000 9.9911
Pa -2.0119 1.1616 3.3304
Pa 2.0119 1.1616 3.3304
Se 0.0000 -2.3318 8.2777
Se -2.0194 1.1659 8.2777
Se -2.0194 -1.1659 11.7046
Se 0.0000 0.0000 5.0913
Se 0.0000 0.0000 14.8910
Se 2.0194 1.1659 8.2777
Se 2.0194 -1.1659 11.7046
Se 0.0000 2.3318 11.7046
```

=====

Entry 2:
Material: Li4U3PaSe8
Method: DFT, GGA-PBE
State: relaxed

Values from the calculation:
D(E_F)	0.70	states/eV/atom
E_form (uncorrected)	-1.21	eV/atom
space-group type	R-3m, No. 166

Cell and atoms, written as extended XYZ:
```
16
Lattice="3.9875 2.3022 6.7069 -3.9875 2.3022 6.7069 0.0000 -4.6044 6.7069" Properties=species:S:1:pos:R:3 pbc="T T T"
Li 0.0000 0.0000 0.0000
Li -1.9938 -1.1511 6.7069
Li -1.9938 1.1511 13.4138
Li 0.0000 2.3022 6.7069
U -3.9875 0.0000 10.0603
U -1.9938 1.1511 3.3534
U 1.9938 1.1511 3.3534
Pa 0.0000 0.0000 10.0603
Se 0.0000 -2.2946 8.2965
Se -1.9872 1.1473 8.2965
Se 0.0000 0.0000 5.1053
Se -1.9872 -1.1473 11.8242
Se 1.9872 1.1473 8.2965
Se 0.0000 0.0000 15.0154
Se 1.9872 -1.1473 11.8242
Se 0.0000 2.2946 11.8242
```